A plane-wave DFT calculation with PBE-GGA was carried out for a relaxed K2RbCd crystal.

Summary:
calculated formation energy	0.040	eV per atom
electronic total energy	-0.979	eV/atom

Cell: 9.4905 9.4905 9.4905 Å, 90.00 90.00 90.00°
With the nearest neighbours (Å) after each atom.
Space group Fm-3m (No. 225)
One atom of each set of equivalent atoms:
K 0.2500 0.2500 0.2500 [8 per cell]  4 Cd 4.11, 4 Rb 4.11
Rb 0.0000 0.0000 0.0000 [4 per cell]  8 K 4.11
Cd 0.0000 0.0000 0.5000 [4 per cell]  8 K 4.11

A plane-wave DFT calculation with PBE-GGA was carried out for a relaxed K2Rb6Cd crystal.

Summary:
calculated formation energy	0.026	eV per atom
electronic total energy	-0.965	eV/atom

Cell: 11.8662 23.6243 4.9894 Å, 90.00 100.42 90.00°
With the nearest neighbours (Å) after each atom.
Space group C2/m (No. 12)
One atom of each set of equivalent atoms:
K 0.0000 0.1262 0.0000 [4 per cell]  2 Cd 3.89
Rb 0.1687 0.3283 0.3076 [8 per cell]  5 Rb 4.45-4.83, 2 K 4.60-4.86
Rb 0.2111 0.5000 0.8418 [4 per cell]  2 Cd 4.10-4.30, 2 K 4.50
Cd 0.0000 0.0000 0.5000 [2 per cell]  4 K 3.89, 4 Rb 4.10-4.30